4
Lattice="5.601 -1.649 0.000 5.601 1.649 0.000 -1.999 0.000 5.306" Properties=species:S:1:pos:R:3 comment="AlZnPb2, optimized geometry, DFT PBE" total_magnetization_mub_per_cell=0.00 formation_energy_ev_per_atom=0.17 pbc="T T T"
Al 0.000 0.000 0.000
Zn 2.103 0.000 3.740
Pb 5.188 0.000 2.836
Pb 8.161 0.000 0.980

8
Lattice="3.680 0.000 0.000 0.000 3.680 0.000 0.000 0.000 14.788" Properties=species:S:1:pos:R:3 comment="Ca3ErAg4, optimized geometry, DFT PBE" total_magnetization_mub_per_cell=0.00 formation_energy_ev_per_atom=-0.32 pbc="T T T"
Ca 0.000 0.000 0.000
Ca 0.000 0.000 3.752
Ca 0.000 0.000 11.036
Er 0.000 0.000 7.394
Ag 1.840 1.840 1.861
Ag 1.840 1.840 5.737
Ag 1.840 1.840 9.052
Ag 1.840 1.840 12.927

4
Lattice="0.000 2.941 2.941 2.941 0.000 2.941 2.941 2.941 0.000" Properties=species:S:1:pos:R:3 comment="AlBPd2, optimized geometry, DFT PBE" e_above_lowest_polymorph_ev_per_fu=0.00 total_magnetization_mub_per_cell=0.00 formation_energy_ev_per_atom=-0.06 pbc="T T T"
Al 0.000 0.000 0.000
B 2.941 2.941 2.941
Pd 1.470 1.470 1.470
Pd 4.411 4.411 4.411